(1)
Compound: CaAlCu2Bi
Source: the Alexandria database
Functional: PBE-GGA
Structure: relaxed

Structure (extended XYZ):
```
5
Lattice="5.013 0.000 0.000 0.000 5.652 0.000 0.000 0.000 5.013" Properties=species:S:1:pos:R:3 pbc="T T T"
Ca 2.506 2.826 2.506
Bi 0.000 0.000 0.000
Cu 0.000 0.000 2.506
Cu 2.506 0.000 0.000
Al 0.000 2.826 0.000
```

The value obtained for the calculated formation energy is 551 meV/atom. The value obtained for the density is 4713 kg/m³. The space group is P4/mmm, No. 123.



(2)
Compound: CaAl2FeBi
Source: the Alexandria database
Functional: PBE-GGA
Structure: relaxed

Structure (extended XYZ):
```
5
Lattice="4.700 0.000 0.000 0.000 5.250 0.000 0.000 0.000 4.700" Properties=species:S:1:pos:R:3 pbc="T T T"
Ca 0.000 2.625 0.000
Al 0.000 0.000 2.350
Al 2.350 0.000 0.000
Bi 2.350 2.625 2.350
Fe 0.000 0.000 0.000
```

The value obtained for the calculated formation energy is 132 meV/atom. The value obtained for the density is 5139 kg/m³. The space group is P4/mmm, No. 123.



(3)
Compound: CaAlBi2H
Source: the Alexandria database
Functional: PBE-GGA
Structure: relaxed

Structure (extended XYZ):
```
5
Lattice="6.236 0.000 0.000 0.000 3.686 0.000 0.000 0.000 6.236" Properties=species:S:1:pos:R:3 pbc="T T T"
H 0.000 1.843 0.000
Ca 0.000 0.000 0.000
Bi 0.000 0.000 3.118
Bi 3.118 0.000 0.000
Al 3.118 1.843 3.118
```

The final energy is -15.184 eV for the cell shown. The value obtained for the density is 5631 kg/m³. The space group is P4/mmm, No. 123.



(4)
Compound: CaHfAlBi2
Source: the Alexandria database
Functional: PBE-GGA
Structure: relaxed

Structure (extended XYZ):
```
5
Lattice="-2.584 4.648 -1.206 -1.051 -1.865 -4.933 -4.682 -2.135 1.805" Properties=species:S:1:pos:R:3 pbc="T T T"
Ca -0.526 -0.932 -2.467
Hf -4.159 0.324 -2.167
Bi -2.341 -1.067 0.902
Bi -1.292 2.324 -0.603
Al 0.000 0.000 0.000
```

The value obtained for the calculated formation energy is 739 meV/atom. The value obtained for the density is 6890 kg/m³. The space group is P4/mmm, No. 123.



(5)
Compound: K2CaAlBi
Source: the Alexandria database
Functional: PBE-GGA
Structure: relaxed

Structure (extended XYZ):
```
5
Lattice="-6.138 -0.826 2.276 0.815 -5.387 0.242 2.211 0.613 6.186" Properties=species:S:1:pos:R:3 pbc="T T T"
K 1.106 0.306 3.093
K -3.069 -0.413 1.138
Ca -1.556 -2.800 4.352
Bi 0.408 -2.694 0.121
Al 0.000 0.000 0.000
```

The value obtained for the calculated formation energy is 250 meV/atom. The value obtained for the density is 2477 kg/m³. The space group is P4/mmm, No. 123.



(6)
Compound: Ca2AlBiN
Source: the Alexandria database
Functional: PBE-GGA
Structure: relaxed

Structure (extended XYZ):
```
5
Lattice="-4.486 1.173 -2.144 -2.170 0.151 4.622 0.900 3.976 0.292" Properties=species:S:1:pos:R:3 pbc="T T T"
Ca -1.085 0.076 2.311
Ca -2.243 0.587 -1.072
N 0.000 0.000 0.000
Bi -2.877 2.650 1.385
Al 0.450 1.988 0.146
```

The value obtained for the density is 5140 kg/m³. The calculation puts the energy relative to the lowest polymorph listed for this composition at 0 meV per atom. The space group is P4/mmm, No. 123.



(7)
Compound: Ca2AlBiN
Source: the Alexandria database
Functional: PBE-GGA
Structure: relaxed

Structure (extended XYZ):
```
5
Lattice="-3.738 -1.911 2.319 2.768 -4.057 1.119 1.443 2.105 4.060" Properties=species:S:1:pos:R:3 pbc="T T T"
Ca 0.722 1.052 2.030
Ca -1.869 -0.955 1.159
N 0.000 0.000 0.000
Bi 1.384 -2.028 0.559
Al 0.237 -1.931 3.749
```

The value obtained for the density is 4732 kg/m³. The calculation puts the energy relative to the lowest polymorph listed for this composition at 374 meV per atom. The space group is P4/mmm, No. 123.



(8)
Compound: CaAlBi2O6
Source: the Alexandria database
Functional: PBE-GGA
Structure: relaxed

Structure (extended XYZ):
```
10
Lattice="-2.073 4.755 -2.246 0.267 0.840 -5.584 -5.032 -0.322 -3.151" Properties=species:S:1:pos:R:3 pbc="T T T"
Ca -4.372 4.328 -8.143
Al -0.796 1.769 -2.633
Bi -3.006 2.840 -5.440
Bi -4.763 -0.190 -3.118
O -2.349 2.828 -3.082
O -1.316 1.641 -6.742
O -3.115 5.156 -6.222
O -4.606 2.315 -7.120
O -5.257 3.034 -4.695
O -4.076 0.742 -5.105
```

The final energy is -62.318 eV for the cell shown. The value obtained for the density is 7015 kg/m³. The space group is R3, No. 146.



(9)
Compound: Ca2AlBiO5
Source: the Alexandria database
Functional: PBE-GGA
Structure: relaxed

Structure (extended XYZ):
```
18
Lattice="-1.340 5.477 -0.851 -5.140 -0.794 2.977 6.760 -0.287 5.568" Properties=species:S:1:pos:R:3 pbc="T T T"
Ca -1.844 0.349 3.066
Ca -0.278 1.385 6.218
Ca 1.878 4.560 4.157
Ca 0.164 3.503 1.089
Bi -3.204 2.452 1.081
Bi -0.024 0.102 0.053
O 0.362 2.655 3.680
O 0.462 -0.172 4.433
O -2.687 2.773 3.359
O 2.958 1.206 4.112
O 1.600 0.594 1.690
O -1.401 3.376 5.823
O 3.231 -0.113 7.095
O -1.117 1.677 1.276
O -2.006 4.381 0.976
O 1.308 2.433 7.396
Al 1.342 1.112 3.383
Al -1.240 3.555 4.064
```

The value obtained for the density is 4947 kg/m³. The calculation puts the energy relative to the lowest polymorph listed for this composition at 26 meV per atom. The space group is Cc, No. 9.



(10)
Compound: CaAlBi2O8
Source: the Alexandria database
Functional: PBE-GGA
Structure: relaxed

Structure (extended XYZ):
```
12
Lattice="-0.828 -1.819 -4.459 -0.049 -4.639 1.546 -6.624 0.422 1.057" Properties=species:S:1:pos:R:3 pbc="T T T"
Ca -3.312 0.211 0.529
Al 0.000 0.000 0.000
Bi -5.448 -2.910 -0.656
Bi -2.053 -3.126 -1.198
O -1.599 -4.019 0.651
O -0.624 -4.606 -2.074
O -2.088 -2.260 -3.114
O -5.902 -2.017 -2.505
O -0.252 -1.852 -0.838
O -5.413 -3.776 1.259
O -3.910 -4.203 -1.455
O -3.590 -1.833 -0.399
```

The final energy is -70.858 eV for the cell shown. The value obtained for the density is 6352 kg/m³. The space group is P2/m, No. 10.



(11)
Compound: Ca2AlBiO5
Source: the Alexandria database
Functional: PBE-GGA
Structure: relaxed

Structure (extended XYZ):
```
18
Lattice="-1.752 2.004 1.852 -4.170 -7.340 1.159 5.416 -1.937 7.220" Properties=species:S:1:pos:R:3 pbc="T T T"
Ca -0.541 -5.589 8.377
Ca 2.760 -2.452 5.265
Ca 0.602 -1.887 2.611
Ca -4.055 -4.539 3.916
Al 3.761 -1.514 8.035
Al -2.055 -6.551 5.145
Bi -0.873 -3.440 5.736
Bi -2.247 -2.898 1.011
O -3.629 -4.634 1.582
O 2.304 -2.568 7.798
O -0.727 -7.831 7.786
O 0.576 -5.188 6.159
O -2.592 -5.867 6.736
O 0.509 -1.704 5.166
O -1.559 -5.153 4.101
O 0.670 0.397 3.044
O -1.880 -1.800 3.009
O -0.196 -0.590 0.453
```

The value obtained for the density is 5252 kg/m³. The calculation puts the energy relative to the lowest polymorph listed for this composition at 0 meV per atom. The space group is Cmc2_1, No. 36.



(12)
Compound: CaAlBiO4
Source: the Alexandria database
Functional: PBE-GGA
Structure: relaxed

Structure (extended XYZ):
```
14
Lattice="-1.518 -4.850 -2.376 3.905 2.916 -2.779 5.162 -3.413 3.671" Properties=species:S:1:pos:R:3 pbc="T T T"
Ca 3.774 -2.674 -0.742
Ca 1.193 -0.967 -2.577
Al 4.385 0.903 -1.801
Al 3.164 -6.250 0.317
Bi 0.685 -4.397 -1.526
Bi 6.864 -0.950 0.043
O 4.527 -2.836 1.574
O 5.830 -3.892 -1.239
O 4.766 -6.095 1.001
O 2.722 -4.743 -0.453
O 2.783 0.748 -2.484
O 4.827 -0.604 -1.031
O 3.022 -2.511 -3.057
O 1.719 -1.455 -0.244
```

The final energy is -91.423 eV for the cell shown. The value obtained for the density is 5518 kg/m³. The space group is Cmcm, No. 63.



(13)
Compound: Ca3AlBi2Pd9
Source: the Alexandria database
Functional: PBE-GGA
Structure: relaxed

Structure (extended XYZ):
```
15
Lattice="7.015 0.000 0.000 -3.508 6.076 0.000 0.000 0.000 8.630" Properties=species:S:1:pos:R:3 pbc="T T T"
Ca 0.000 4.050 6.311
Ca 0.000 0.000 0.000
Ca 3.508 2.025 2.319
Al 0.000 0.000 4.315
Bi 0.000 4.050 1.843
Bi 3.508 2.025 6.787
Pd 5.672 0.775 6.229
Pd 3.508 4.525 6.229
Pd 1.343 0.775 6.229
Pd 2.165 5.300 2.401
Pd 0.000 1.551 2.401
Pd -2.165 5.300 2.401
Pd 3.508 0.000 0.000
Pd -1.754 3.038 0.000
Pd 1.754 3.038 0.000
```

The value obtained for the calculated formation energy is -332 meV/atom. The value obtained for the density is 6875 kg/m³. The space group is P-3m1, No. 164.